Entry 1:
# CdCuAgSb

CdCuAgSb after structural relaxation (PBE, the Open Quantum Materials Database).

Unit cell a=4.8210 b=4.8210 c=4.8210 alpha=60.00 beta=60.00 gamma=60.00
Last column: nearest neighbours and their distance in Å.
Sites, in units of the cell vectors:
Ag 0.2500 0.2500 0.2500  4 Cd 2.95, 4 Sb 2.95
Cu 0.7500 0.7500 0.7500  4 Cd 2.95, 4 Sb 2.95
Cd 0.5000 0.5000 0.5000  4 Cu 2.95, 4 Ag 2.95
Sb 0.0000 0.0000 0.0000  4 Cu 2.95, 4 Ag 2.95

For the energy above the most stable polymorph in this dataset, the calculation gives 0 meV/atom.


Entry 2:
# KGdCoS3

KGdCoS3 after structural relaxation (PBE, the Open Quantum Materials Database).

Unit cell a=3.9448 b=7.3232 c=10.5639 alpha=90.00 beta=90.00 gamma=74.38
Last column: nearest neighbours and their distance in Å.
Sites, in units of the cell vectors:
Co 0.5346 0.9308 0.2500  4 S 2.26-2.37
K 0.2574 0.4852 0.2500  6 S 3.26-3.30
S 0.6242 0.7517 0.4269  1 Co 2.26
S 0.3758 0.2483 0.9269  1 Co 2.26
S 0.3758 0.2483 0.5731  1 Co 2.26
Gd 0.0000 0.0000 0.5000  6 S 2.75-2.77
Co 0.4654 0.0692 0.7500  4 S 2.26-2.37
S 0.0587 0.8825 0.7500  2 Co 2.37
S 0.6242 0.7517 0.0731  1 Co 2.26
Gd 0.0000 0.0000 0.0000  6 S 2.75-2.77
K 0.7426 0.5148 0.7500  6 S 3.26-3.30
S 0.9413 0.1175 0.2500  2 Co 2.37

For the energy above the most stable polymorph in this dataset, the calculation gives 18 meV/atom.